Entry 1:
First-principles (PBE) data for crystalline Pm5Er2Hg4 at its relaxed geometry, as listed in Alexandria.

a = 3.541 Å, b = 7.671 Å, c = 12.587 Å
α = 87.53°, β = 98.09°, γ = 90.00°
Site moments in Bohr magnetons follow the coordinates.
Sites, in units of the cell vectors:
Hg: 0.968 0.337 0.936  0.00
Er: 0.908 0.694 0.815  0.05
Hg: 0.667 0.524 0.334  0.00
Pm: 0.500 0.000 0.000  0.01
Pm: 0.140 0.870 0.280  0.02
Er: 0.092 0.306 0.185  0.05
Pm: 0.767 0.787 0.534  0.03
Hg: 0.032 0.663 0.064  0.00
Pm: 0.860 0.130 0.720  0.02
Pm: 0.233 0.213 0.466  0.03
Hg: 0.333 0.476 0.666  0.00

Computed properties:
- Magnetization: 0.337 μB/f.u.
- VASP energy: -3.22 eV per atom
- Calculated formation energy: -0.12 eV per atom

---

Entry 2:
First-principles (PBE) data for crystalline Pm2ErHg6 at its relaxed geometry, as listed in Alexandria.

a = 3.455 Å, b = 8.669 Å, c = 8.669 Å
α = 120.00°, β = 90.00°, γ = 90.00°
Site moments in Bohr magnetons follow the coordinates.
Sites, in units of the cell vectors:
Hg: 0.500 0.000 0.669  0.00
Hg: 0.500 0.331 0.331  0.00
Hg: 0.500 0.669 0.669  0.00
Hg: 0.500 0.000 0.331  0.00
Hg: 0.500 0.669 0.000  0.00
Er: 0.000 0.000 0.000  0.02
Pm: 0.000 0.667 0.333  0.09
Pm: 0.000 0.333 0.667  0.09
Hg: 0.500 0.331 0.000  0.00

Computed properties:
- Magnetization: 0.358 μB/f.u.
- VASP energy: -2.17 eV per atom
- Calculated formation energy: -0.40 eV per atom

---

Entry 3:
First-principles (PBE) data for crystalline PmEr2Hg at its relaxed geometry, as listed in Alexandria.

a = 3.605 Å, b = 3.605 Å, c = 8.895 Å
α = 90.00°, β = 90.00°, γ = 90.00°
Sites, in units of the cell vectors:
Er: 0.000 0.000 0.218
Hg: 0.500 0.500 0.000
Er: 0.000 0.000 0.782
Pm: 0.500 0.500 0.500

Computed properties:
- Magnetization: 0.000 μB/f.u.
- Energy above the lowest structure with this stoichiometry: 0.000 eV per atom
- VASP energy: -3.78 eV per atom
- Calculated formation energy: -0.24 eV per atom

---

Entry 4:
First-principles (PBE) data for crystalline Pm3Er2Hg2 at its relaxed geometry, as listed in Alexandria.

a = 4.975 Å, b = 3.529 Å, c = 11.797 Å
α = 90.00°, β = 77.83°, γ = 90.00°
Site moments in Bohr magnetons follow the coordinates.
Sites, in units of the cell vectors:
Hg: 0.429 0.500 0.143  0.00
Er: 0.290 0.500 0.419  0.00
Pm: 0.145 0.000 0.711  0.04
Er: 0.710 0.500 0.581  0.00
Pm: 0.855 0.000 0.289  0.04
Hg: 0.571 0.500 0.857  0.00
Pm: 0.000 0.000 0.000  0.16

Computed properties:
- Magnetization: 0.400 μB/f.u.
- Energy above the lowest structure with this stoichiometry: 0.117 eV per atom
- VASP energy: -3.54 eV per atom
- Calculated formation energy: -0.12 eV per atom

---

Entry 5:
First-principles (PBE) data for crystalline Pm3Er2Hg2 at its relaxed geometry, as listed in Alexandria.

a = 5.420 Å, b = 5.415 Å, c = 8.593 Å
α = 108.39°, β = 90.00°, γ = 120.03°
Sites, in units of the cell vectors:
Hg: 0.211 0.423 0.135
Hg: 0.789 0.577 0.865
Pm: 0.500 0.000 0.000
Er: 0.926 0.852 0.278
Er: 0.074 0.148 0.722
Pm: 0.659 0.318 0.477
Pm: 0.341 0.682 0.523

Computed properties:
- Magnetization: 0.000 μB/f.u.
- Energy above the lowest structure with this stoichiometry: 0.000 eV per atom
- VASP energy: -3.66 eV per atom
- Calculated formation energy: -0.24 eV per atom

---

Entry 6:
First-principles (PBE) data for crystalline Pm6ErHg2 at its relaxed geometry, as listed in Alexandria.

a = 3.784 Å, b = 6.708 Å, c = 11.889 Å
α = 75.63°, β = 80.84°, γ = 73.62°
Sites, in units of the cell vectors:
Pm: 0.691 0.209 0.410
Hg: 0.363 0.080 0.193
Hg: 0.637 0.920 0.807
Pm: 0.309 0.791 0.590
Er: 0.000 0.000 0.000
Pm: 0.687 0.503 0.124
Pm: 0.021 0.294 0.664
Pm: 0.979 0.706 0.336
Pm: 0.313 0.497 0.876

Computed properties:
- Magnetization: 0.000 μB/f.u.
- VASP energy: -3.95 eV per atom
- Calculated formation energy: -0.21 eV per atom